Material: PmBSe2
Method: DFT, GGA-PBE
State: relaxed

abc: 3.4203 3.4203 25.1121
angles: 90.00 90.00 120.00
Space group R-3m (No. 166, hexagonal axes)
One atom of each set of equivalent atoms:
Pm1 0.0000 0.0000 0.0000 (multiplicity 3)
B1 0.0000 0.0000 0.5000 (multiplicity 3)
Se1 0.0000 0.0000 0.1162 (multiplicity 6)

Summary:
ΔE_f (raw)   0.2228 eV/atom
Calculated density   6.14 g/cm³
Total energy   -4.38 eV per atom
V   21.20 Å³ per atom